Entry 1:
YPuTh2 | PBE | relaxed

Its energy relative to the lowest polymorph listed for this composition is 0 meV/atom. The calculation puts the total magnetization at 5.12 μB/f.u. For the formation energy, the calculation gives 104 meV per atom. The total energy is -8.805 eV/atom. The value obtained for the density is 10.85 Mg/m³. The value obtained for the volume is 122 Å³ per cell.

Lattice parameters (Å, degrees): 3.5500 3.5500 9.6790 90.00 90.00 90.00
Fractional coordinates of all 4 atoms:
Y  0.0000  0.0000  0.0000
Pu  0.0000  0.0000  0.5000
Th  0.5000  0.5000  0.2644
Th  0.5000  0.5000  0.7356

Entry 2:
Y2PuTh | PBE | relaxed

Its energy relative to the lowest polymorph listed for this composition is 124 meV/atom. The calculation puts the total magnetization at 6.30 μB/f.u. For the formation energy, the calculation gives 253 meV per atom. The total energy is -8.417 eV/atom. The value obtained for the density is 8.61 Mg/m³. The value obtained for the volume is 504 Å³ per cell.

Lattice parameters (Å, degrees): 7.9598 7.9598 7.9598 90.00 90.00 90.00
Fractional coordinates of all 16 atoms:
Y  0.2500  0.2500  0.2500
Y  0.2500  0.2500  0.7500
Y  0.2500  0.7500  0.2500
Y  0.2500  0.7500  0.7500
Y  0.7500  0.2500  0.2500
Y  0.7500  0.2500  0.7500
Y  0.7500  0.7500  0.2500
Y  0.7500  0.7500  0.7500
Pu  0.0000  0.0000  0.0000
Pu  0.0000  0.5000  0.5000
Pu  0.5000  0.0000  0.5000
Pu  0.5000  0.5000  0.0000
Th  0.0000  0.0000  0.5000
Th  0.0000  0.5000  0.0000
Th  0.5000  0.0000  0.0000
Th  0.5000  0.5000  0.5000

Entry 3:
Y2PuTh | PBE | relaxed

Its energy relative to the lowest polymorph listed for this composition is 5 meV/atom. The calculation puts the total magnetization at 6.41 μB/f.u. For the formation energy, the calculation gives 134 meV per atom. The total energy is -8.536 eV/atom. The value obtained for the density is 8.86 Mg/m³. The value obtained for the volume is 122 Å³ per cell.

Lattice parameters (Å, degrees): 4.8910 4.8910 5.1202 90.00 90.00 90.00
Fractional coordinates of all 4 atoms:
Y  0.0000  0.5000  0.0000
Y  0.5000  0.0000  0.0000
Pu  0.0000  0.0000  0.5000
Th  0.5000  0.5000  0.5000

Entry 4:
Pu2ThZn | PBE | relaxed

Its energy relative to the lowest polymorph listed for this composition is 151 meV/atom. The calculation puts the total magnetization at 13.39 μB/f.u. For the formation energy, the calculation gives 193 meV per atom. The total energy is -9.147 eV/atom. The value obtained for the density is 13.13 Mg/m³. The value obtained for the volume is 397 Å³ per cell.

Lattice parameters (Å, degrees): 7.3512 7.3512 7.3512 90.00 90.00 90.00
Fractional coordinates of all 16 atoms:
Pu  0.2500  0.2500  0.2500
Pu  0.2500  0.2500  0.7500
Pu  0.2500  0.7500  0.2500
Pu  0.2500  0.7500  0.7500
Pu  0.7500  0.2500  0.2500
Pu  0.7500  0.2500  0.7500
Pu  0.7500  0.7500  0.2500
Pu  0.7500  0.7500  0.7500
Th  0.0000  0.0000  0.0000
Th  0.0000  0.5000  0.5000
Th  0.5000  0.0000  0.5000
Th  0.5000  0.5000  0.0000
Zn  0.0000  0.0000  0.5000
Zn  0.0000  0.5000  0.0000
Zn  0.5000  0.0000  0.0000
Zn  0.5000  0.5000  0.5000

What density of states at the Fermi level values result from the calculations? In sequence: 10.04 54.77 13.80 52.05 states/eV/cell.